--- a ---
VASP calculation (PBE) on crystalline CsMo at its relaxed geometry. Values from VASP.

Calculated values
* DOS at the Fermi energy: 4.22 states/eV/cell
* space group: P6_3mc
* total magnetic moment: 0.918 μB per formula unit

Quantum ESPRESSO input file:
```
&SYSTEM
  ibrav = 0, nat = 4, ntyp = 2
/
ATOMIC_SPECIES
Cs 132.91 Cs.upf
Mo 95.94 Mo.upf
CELL_PARAMETERS angstrom
3.161 0.000 0.000
-1.581 2.738 0.000
0.000 0.000 12.806
ATOMIC_POSITIONS crystal
Cs 0.333 0.667 0.000
Cs 0.667 0.333 0.500
Mo 0.333 0.667 0.253
Mo 0.667 0.333 0.753
```

--- b ---
VASP calculation (PBE) on crystalline CsMo at its relaxed geometry. Values from VASP.

Calculated values
* DOS at the Fermi energy: 12.08 states/eV/cell
* space group: P2_12_12_1
* total magnetic moment: 0.000 μB per formula unit

Quantum ESPRESSO input file:
```
&SYSTEM
  ibrav = 0, nat = 16, ntyp = 2
/
ATOMIC_SPECIES
Cs 132.91 Cs.upf
Mo 95.94 Mo.upf
CELL_PARAMETERS angstrom
4.667 0.000 0.000
0.000 10.316 0.000
0.000 0.000 17.204
ATOMIC_POSITIONS crystal
Cs 0.247 0.063 0.452
Cs 0.249 0.471 0.283
Cs 0.251 0.529 0.783
Cs 0.253 0.937 0.952
Cs 0.747 0.437 0.548
Cs 0.749 0.029 0.717
Cs 0.751 0.971 0.217
Cs 0.753 0.563 0.048
Mo 0.245 0.701 0.464
Mo 0.245 0.762 0.591
Mo 0.255 0.238 0.091
Mo 0.255 0.299 0.964
Mo 0.745 0.738 0.409
Mo 0.745 0.799 0.536
Mo 0.755 0.201 0.036
Mo 0.755 0.262 0.909
```

--- c ---
VASP calculation (PBE) on crystalline CsMo at its relaxed geometry. Values from VASP.

Calculated values
* DOS at the Fermi energy: 14.20 states/eV/cell
* space group: F-43m
* total magnetic moment: 1.030 μB per formula unit

Quantum ESPRESSO input file:
```
&SYSTEM
  ibrav = 0, nat = 8, ntyp = 2
/
ATOMIC_SPECIES
Cs 132.91 Cs.upf
Mo 95.94 Mo.upf
CELL_PARAMETERS angstrom
6.291 0.000 0.000
0.000 6.291 0.000
0.000 0.000 6.291
ATOMIC_POSITIONS crystal
Cs 0.000 0.000 0.000
Cs 0.000 0.500 0.500
Cs 0.500 0.000 0.500
Cs 0.500 0.500 0.000
Mo 0.250 0.250 0.250
Mo 0.250 0.750 0.750
Mo 0.750 0.250 0.750
Mo 0.750 0.750 0.250
```

According to the calculations, the structures order from most to least stable as b, a, c.

--- a ---
VASP calculation (PBE) on crystalline CsMo at its relaxed geometry. Values from VASP.

Calculated values
* DOS at the Fermi energy: 10.69 states/eV/cell
* space group: I-43m
* total magnetic moment: 0.525 μB per formula unit

Quantum ESPRESSO input file:
```
&SYSTEM
  ibrav = 0, nat = 16, ntyp = 2
/
ATOMIC_SPECIES
Cs 132.91 Cs.upf
Mo 95.94 Mo.upf
CELL_PARAMETERS angstrom
10.745 0.000 0.000
0.000 10.745 0.000
0.000 0.000 10.745
ATOMIC_POSITIONS crystal
Cs 0.225 0.225 0.775
Cs 0.225 0.775 0.225
Cs 0.275 0.275 0.275
Cs 0.275 0.725 0.725
Cs 0.725 0.275 0.725
Cs 0.725 0.725 0.275
Cs 0.775 0.225 0.225
Cs 0.775 0.775 0.775
Mo 0.079 0.079 0.079
Mo 0.079 0.921 0.921
Mo 0.421 0.421 0.579
Mo 0.421 0.579 0.421
Mo 0.579 0.421 0.421
Mo 0.579 0.579 0.579
Mo 0.921 0.079 0.921
Mo 0.921 0.921 0.079
```

--- b ---
VASP calculation (PBE) on crystalline CsMo at its relaxed geometry. Values from VASP.

Calculated values
* DOS at the Fermi energy: 15.65 states/eV/cell
* space group: P6_3/m
* total magnetic moment: 0.253 μB per formula unit

Quantum ESPRESSO input file:
```
&SYSTEM
  ibrav = 0, nat = 12, ntyp = 2
/
ATOMIC_SPECIES
Cs 132.91 Cs.upf
Mo 95.94 Mo.upf
CELL_PARAMETERS angstrom
15.530 0.000 0.000
-7.765 13.450 0.000
0.000 0.000 3.353
ATOMIC_POSITIONS crystal
Cs 0.181 0.427 0.250
Cs 0.245 0.819 0.250
Cs 0.427 0.245 0.750
Cs 0.573 0.755 0.250
Cs 0.755 0.181 0.750
Cs 0.819 0.573 0.750
Mo 0.038 0.559 0.250
Mo 0.441 0.479 0.250
Mo 0.479 0.038 0.750
Mo 0.521 0.962 0.250
Mo 0.559 0.521 0.750
Mo 0.962 0.441 0.750
```

According to the calculations, the structures order from most to least stable as b, a.

--- a ---
VASP calculation (PBE) on crystalline CsMo at its relaxed geometry. Values from VASP.

Calculated values
* DOS at the Fermi energy: 11.73 states/eV/cell
* space group: P4_2/mnm
* total magnetic moment: 0.509 μB per formula unit

Quantum ESPRESSO input file:
```
&SYSTEM
  ibrav = 0, nat = 8, ntyp = 2
/
ATOMIC_SPECIES
Cs 132.91 Cs.upf
Mo 95.94 Mo.upf
CELL_PARAMETERS angstrom
11.746 0.000 0.000
0.000 11.746 0.000
0.000 0.000 3.424
ATOMIC_POSITIONS crystal
Cs 0.217 0.217 0.000
Cs 0.283 0.717 0.500
Cs 0.717 0.283 0.500
Cs 0.783 0.783 0.000
Mo 0.061 0.939 0.000
Mo 0.439 0.439 0.500
Mo 0.561 0.561 0.500
Mo 0.939 0.061 0.000
```

--- b ---
VASP calculation (PBE) on crystalline CsMo at its relaxed geometry. Values from VASP.

Calculated values
* DOS at the Fermi energy: 5.25 states/eV/cell
* space group: Cmmm
* total magnetic moment: 0.000 μB per formula unit

Quantum ESPRESSO input file:
```
&SYSTEM
  ibrav = 0, nat = 4, ntyp = 2
/
ATOMIC_SPECIES
Cs 132.91 Cs.upf
Mo 95.94 Mo.upf
CELL_PARAMETERS angstrom
3.183 0.000 0.000
0.000 5.406 0.000
0.000 0.000 6.114
ATOMIC_POSITIONS crystal
Cs 0.000 0.000 0.000
Cs 0.500 0.500 0.000
Mo 0.000 0.000 0.500
Mo 0.500 0.500 0.500
```

According to the calculations, the structures order from most to least stable as a, b.

--- a ---
VASP calculation (PBE) on crystalline CsMo at its relaxed geometry. Values from VASP.

Calculated values
* DOS at the Fermi energy: 9.98 states/eV/cell
* space group: Imma
* total magnetic moment: 0.000 μB per formula unit

Quantum ESPRESSO input file:
```
&SYSTEM
  ibrav = 0, nat = 8, ntyp = 2
/
ATOMIC_SPECIES
Cs 132.91 Cs.upf
Mo 95.94 Mo.upf
CELL_PARAMETERS angstrom
3.437 0.000 0.000
0.000 6.646 0.000
0.000 0.000 12.951
ATOMIC_POSITIONS crystal
Cs 0.000 0.250 0.102
Cs 0.000 0.750 0.898
Cs 0.500 0.250 0.398
Cs 0.500 0.750 0.602
Mo 0.000 0.250 0.690
Mo 0.000 0.750 0.310
Mo 0.500 0.250 0.810
Mo 0.500 0.750 0.190
```

--- b ---
VASP calculation (PBE) on crystalline CsMo at its relaxed geometry. Values from VASP.

Calculated values
* DOS at the Fermi energy: 20.69 states/eV/cell
* space group: I4/m
* total magnetic moment: 0.179 μB per formula unit

Quantum ESPRESSO input file:
```
&SYSTEM
  ibrav = 0, nat = 16, ntyp = 2
/
ATOMIC_SPECIES
Cs 132.91 Cs.upf
Mo 95.94 Mo.upf
CELL_PARAMETERS angstrom
16.078 0.000 0.000
0.000 16.078 0.000
0.000 0.000 3.351
ATOMIC_POSITIONS crystal
Cs 0.030 0.255 0.000
Cs 0.245 0.530 0.500
Cs 0.255 0.970 0.000
Cs 0.470 0.245 0.500
Cs 0.530 0.755 0.500
Cs 0.745 0.030 0.000
Cs 0.755 0.470 0.500
Cs 0.970 0.745 0.000
Mo 0.200 0.747 0.000
Mo 0.247 0.300 0.500
Mo 0.253 0.200 0.000
Mo 0.300 0.753 0.500
Mo 0.700 0.247 0.500
Mo 0.747 0.800 0.000
Mo 0.753 0.700 0.500
Mo 0.800 0.253 0.000
```

According to the calculations, the structures order from most to least stable as a, b.

--- a ---
VASP calculation (PBE) on crystalline CsMoSe2N at its relaxed geometry. Values from VASP.

Calculated values
* DOS at the Fermi energy: 6.30 states/eV/cell
* space group: P4/mmm
* total magnetic moment: 4.635 μB per formula unit

Quantum ESPRESSO input file:
```
&SYSTEM
  ibrav = 0, nat = 5, ntyp = 4
/
ATOMIC_SPECIES
Cs 132.91 Cs.upf
Mo 95.94 Mo.upf
Se 78.96 Se.upf
N 14.01 N.upf
CELL_PARAMETERS angstrom
5.903 0.000 0.000
0.000 5.903 0.000
0.000 0.000 4.382
ATOMIC_POSITIONS crystal
Cs 0.000 0.000 0.000
Mo 0.500 0.500 0.500
Se 0.000 0.500 0.000
Se 0.500 0.000 0.000
N 0.000 0.000 0.500
```

--- b ---
VASP calculation (PBE) on crystalline CsMoSe2N at its relaxed geometry. Values from VASP.

Calculated values
* DOS at the Fermi energy: 4.52 states/eV/cell
* space group: P4/mmm
* total magnetic moment: 0.001 μB per formula unit

Quantum ESPRESSO input file:
```
&SYSTEM
  ibrav = 0, nat = 5, ntyp = 4
/
ATOMIC_SPECIES
Cs 132.91 Cs.upf
Mo 95.94 Mo.upf
Se 78.96 Se.upf
N 14.01 N.upf
CELL_PARAMETERS angstrom
5.338 0.000 0.000
0.000 5.338 0.000
0.000 0.000 3.929
ATOMIC_POSITIONS crystal
Cs 0.000 0.000 0.000
Mo 0.500 0.500 0.500
Se 0.000 0.500 0.500
Se 0.500 0.000 0.500
N 0.500 0.500 0.000
```

According to the calculations, the structures order from most to least stable as b, a.

--- a ---
VASP calculation (PBE) on crystalline CsMoSeN2 at its relaxed geometry. Values from VASP.

Calculated values
* DOS at the Fermi energy: 5.90 states/eV/cell
* space group: P4/mmm
* total magnetic moment: 0.136 μB per formula unit

Quantum ESPRESSO input file:
```
&SYSTEM
  ibrav = 0, nat = 5, ntyp = 4
/
ATOMIC_SPECIES
Cs 132.91 Cs.upf
Mo 95.94 Mo.upf
Se 78.96 Se.upf
N 14.01 N.upf
CELL_PARAMETERS angstrom
4.162 0.000 0.000
0.000 4.162 0.000
0.000 0.000 6.442
ATOMIC_POSITIONS crystal
Cs 0.000 0.000 0.000
Mo 0.500 0.500 0.500
Se 0.000 0.000 0.500
N 0.000 0.500 0.000
N 0.500 0.000 0.000
```

--- b ---
VASP calculation (PBE) on crystalline CsMoSeN2 at its relaxed geometry. Values from VASP.

Calculated values
* DOS at the Fermi energy: 5.06 states/eV/cell
* space group: P4/mmm
* total magnetic moment: 0.002 μB per formula unit

Quantum ESPRESSO input file:
```
&SYSTEM
  ibrav = 0, nat = 5, ntyp = 4
/
ATOMIC_SPECIES
Cs 132.91 Cs.upf
Mo 95.94 Mo.upf
Se 78.96 Se.upf
N 14.01 N.upf
CELL_PARAMETERS angstrom
4.186 0.000 0.000
0.000 4.186 0.000
0.000 0.000 5.188
ATOMIC_POSITIONS crystal
Cs 0.000 0.000 0.000
Mo 0.500 0.500 0.500
Se 0.500 0.500 0.000
N 0.000 0.500 0.500
N 0.500 0.000 0.500
```

According to the calculations, the structures order from most to least stable as b, a.

--- a ---
VASP calculation (PBE) on crystalline CsTeMoN2 at its relaxed geometry. Values from VASP.

Calculated values
* DOS at the Fermi energy: 5.90 states/eV/cell
* space group: P4/mmm
* total magnetic moment: 4.101 μB per formula unit

Quantum ESPRESSO input file:
```
&SYSTEM
  ibrav = 0, nat = 5, ntyp = 4
/
ATOMIC_SPECIES
Cs 132.91 Cs.upf
Te 127.60 Te.upf
Mo 95.94 Mo.upf
N 14.01 N.upf
CELL_PARAMETERS angstrom
4.280 0.000 0.000
0.000 4.280 0.000
0.000 0.000 7.376
ATOMIC_POSITIONS crystal
Cs 0.000 0.000 0.000
Te 0.000 0.000 0.500
Mo 0.500 0.500 0.500
N 0.000 0.500 0.000
N 0.500 0.000 0.000
```

--- b ---
VASP calculation (PBE) on crystalline CsTeMoN2 at its relaxed geometry. Values from VASP.

Calculated values
* DOS at the Fermi energy: 4.18 states/eV/cell
* space group: P4/mmm
* total magnetic moment: 0.000 μB per formula unit

Quantum ESPRESSO input file:
```
&SYSTEM
  ibrav = 0, nat = 5, ntyp = 4
/
ATOMIC_SPECIES
Cs 132.91 Cs.upf
Te 127.60 Te.upf
Mo 95.94 Mo.upf
N 14.01 N.upf
CELL_PARAMETERS angstrom
4.283 0.000 0.000
0.000 4.283 0.000
0.000 0.000 5.475
ATOMIC_POSITIONS crystal
Cs 0.000 0.000 0.000
Te 0.500 0.500 0.000
Mo 0.500 0.500 0.500
N 0.000 0.500 0.500
N 0.500 0.000 0.500
```

According to the calculations, the structures order from most to least stable as b, a.

--- a ---
VASP calculation (PBE) on crystalline CsNb3Mo at its relaxed geometry. Values from VASP.

Calculated values
* DOS at the Fermi energy: 10.77 states/eV/cell
* space group: Pm-3m
* total magnetic moment: 0.000 μB per formula unit

Quantum ESPRESSO input file:
```
&SYSTEM
  ibrav = 0, nat = 5, ntyp = 3
/
ATOMIC_SPECIES
Cs 132.91 Cs.upf
Nb 92.91 Nb.upf
Mo 95.94 Mo.upf
CELL_PARAMETERS angstrom
4.953 0.000 0.000
0.000 4.953 0.000
0.000 0.000 4.953
ATOMIC_POSITIONS crystal
Cs 0.000 0.000 0.000
Nb 0.000 0.000 0.500
Nb 0.000 0.500 0.000
Nb 0.500 0.000 0.000
Mo 0.500 0.500 0.500
```

--- b ---
VASP calculation (PBE) on crystalline CsNb3Mo at its relaxed geometry. Values from VASP.

Calculated values
* DOS at the Fermi energy: 5.21 states/eV/cell
* space group: Pm-3m
* total magnetic moment: 0.000 μB per formula unit

Quantum ESPRESSO input file:
```
&SYSTEM
  ibrav = 0, nat = 5, ntyp = 3
/
ATOMIC_SPECIES
Cs 132.91 Cs.upf
Nb 92.91 Nb.upf
Mo 95.94 Mo.upf
CELL_PARAMETERS angstrom
5.057 0.000 0.000
0.000 5.057 0.000
0.000 0.000 5.057
ATOMIC_POSITIONS crystal
Cs 0.000 0.000 0.000
Nb 0.000 0.500 0.500
Nb 0.500 0.000 0.500
Nb 0.500 0.500 0.000
Mo 0.500 0.500 0.500
```

According to the calculations, the structures order from most to least stable as b, a.

--- a ---
VASP calculation (PBE) on crystalline Cs2NbMo at its relaxed geometry. Values from VASP.

Calculated values
* DOS at the Fermi energy: 19.14 states/eV/cell
* space group: I-42d
* total magnetic moment: 1.000 μB per formula unit

Quantum ESPRESSO input file:
```
&SYSTEM
  ibrav = 0, nat = 16, ntyp = 3
/
ATOMIC_SPECIES
Cs 132.91 Cs.upf
Nb 92.91 Nb.upf
Mo 95.94 Mo.upf
CELL_PARAMETERS angstrom
6.360 0.000 0.000
0.000 6.360 0.000
0.000 0.000 12.595
ATOMIC_POSITIONS crystal
Cs 0.240 0.250 0.125
Cs 0.250 0.740 0.375
Cs 0.250 0.760 0.875
Cs 0.260 0.250 0.625
Cs 0.740 0.750 0.625
Cs 0.750 0.240 0.875
Cs 0.750 0.260 0.375
Cs 0.760 0.750 0.125
Nb 0.000 0.000 0.500
Nb 0.000 0.500 0.750
Nb 0.500 0.000 0.250
Nb 0.500 0.500 0.000
Mo 0.000 0.000 0.000
Mo 0.000 0.500 0.250
Mo 0.500 0.000 0.750
Mo 0.500 0.500 0.500
```

--- b ---
VASP calculation (PBE) on crystalline Cs2NbMo at its relaxed geometry. Values from VASP.

Calculated values
* DOS at the Fermi energy: 26.52 states/eV/cell
* space group: Fm-3m
* total magnetic moment: 0.000 μB per formula unit

Quantum ESPRESSO input file:
```
&SYSTEM
  ibrav = 0, nat = 16, ntyp = 3
/
ATOMIC_SPECIES
Cs 132.91 Cs.upf
Nb 92.91 Nb.upf
Mo 95.94 Mo.upf
CELL_PARAMETERS angstrom
7.357 0.000 0.000
0.000 7.357 0.000
0.000 0.000 7.357
ATOMIC_POSITIONS crystal
Cs 0.250 0.250 0.250
Cs 0.250 0.250 0.750
Cs 0.250 0.750 0.250
Cs 0.250 0.750 0.750
Cs 0.750 0.250 0.250
Cs 0.750 0.250 0.750
Cs 0.750 0.750 0.250
Cs 0.750 0.750 0.750
Nb 0.000 0.000 0.000
Nb 0.000 0.500 0.500
Nb 0.500 0.000 0.500
Nb 0.500 0.500 0.000
Mo 0.000 0.000 0.500
Mo 0.000 0.500 0.000
Mo 0.500 0.000 0.000
Mo 0.500 0.500 0.500
```

According to the calculations, the structures order from most to least stable as b, a.

--- a ---
VASP calculation (PBE) on crystalline CsNbMo2 at its relaxed geometry. Values from VASP.

Calculated values
* DOS at the Fermi energy: 23.15 states/eV/cell
* space group: I-42d
* total magnetic moment: 0.000 μB per formula unit

Quantum ESPRESSO input file:
```
&SYSTEM
  ibrav = 0, nat = 16, ntyp = 3
/
ATOMIC_SPECIES
Cs 132.91 Cs.upf
Nb 92.91 Nb.upf
Mo 95.94 Mo.upf
CELL_PARAMETERS angstrom
5.085 0.000 0.000
0.000 5.085 0.000
0.000 0.000 17.797
ATOMIC_POSITIONS crystal
Cs 0.000 0.000 0.000
Cs 0.000 0.500 0.250
Cs 0.500 0.000 0.750
Cs 0.500 0.500 0.500
Nb 0.000 0.000 0.500
Nb 0.000 0.500 0.750
Nb 0.500 0.000 0.250
Nb 0.500 0.500 0.000
Mo 0.058 0.250 0.625
Mo 0.250 0.558 0.875
Mo 0.250 0.942 0.375
Mo 0.442 0.250 0.125
Mo 0.558 0.750 0.125
Mo 0.750 0.058 0.375
Mo 0.750 0.442 0.875
Mo 0.942 0.750 0.625
```

--- b ---
VASP calculation (PBE) on crystalline CsNbMo2 at its relaxed geometry. Values from VASP.

Calculated values
* DOS at the Fermi energy: 27.05 states/eV/cell
* space group: Fm-3m
* total magnetic moment: 0.000 μB per formula unit

Quantum ESPRESSO input file:
```
&SYSTEM
  ibrav = 0, nat = 16, ntyp = 3
/
ATOMIC_SPECIES
Cs 132.91 Cs.upf
Nb 92.91 Nb.upf
Mo 95.94 Mo.upf
CELL_PARAMETERS angstrom
6.814 0.000 0.000
0.000 6.814 0.000
0.000 0.000 6.814
ATOMIC_POSITIONS crystal
Cs 0.000 0.000 0.000
Cs 0.000 0.500 0.500
Cs 0.500 0.000 0.500
Cs 0.500 0.500 0.000
Nb 0.000 0.000 0.500
Nb 0.000 0.500 0.000
Nb 0.500 0.000 0.000
Nb 0.500 0.500 0.500
Mo 0.250 0.250 0.250
Mo 0.250 0.250 0.750
Mo 0.250 0.750 0.250
Mo 0.250 0.750 0.750
Mo 0.750 0.250 0.250
Mo 0.750 0.250 0.750
Mo 0.750 0.750 0.250
Mo 0.750 0.750 0.750
```

According to the calculations, the structures order from most to least stable as b, a.